Density functional theory data (PBE) for crystalline Al2NiSeN at its relaxed geometry.

```
data_Al2NiSeN
_chemical_formula_sum 'Al2 Ni1 Se1 N1'
_cell_length_a 3.762
_cell_length_b 3.762
_cell_length_c 4.895
_cell_angle_alpha 90.00
_cell_angle_beta 90.00
_cell_angle_gamma 90.00
_symmetry_space_group_name_H-M 'P 4/m m m'
_symmetry_Int_Tables_number 123
_symmetry_space_group_name_Hall '-P 4 2'
loop_
_atom_site_label
_atom_site_type_symbol
_atom_site_fract_x
_atom_site_fract_y
_atom_site_fract_z
Al1 Al 0.000 0.500 0.000
Ni1 Ni 0.000 0.000 0.500
Se1 Se 0.500 0.500 0.500
N1 N 0.500 0.500 0.000
```

VASP energy in eV/atom: -4.853
Crystal system: tetragonal
E_form (uncorrected) in eV/atom: 0.16

***

Density functional theory data (PBE) for crystalline Ca2ErGa3Au4 at its relaxed geometry.

```
data_Ca2ErGa3Au4
_chemical_formula_sum 'Ca2 Er1 Ga3 Au4'
_cell_length_a 4.399
_cell_length_b 4.399
_cell_length_c 11.596
_cell_angle_alpha 90.00
_cell_angle_beta 90.00
_cell_angle_gamma 90.00
_symmetry_space_group_name_H-M 'P -4 m 2'
_symmetry_Int_Tables_number 115
loop_
_symmetry_equiv_pos_as_xyz
'x,y,z'
'y,-x,-z'
'-x,-y,z'
'-y,x,-z'
'-x,y,z'
'-y,-x,-z'
'x,-y,z'
'y,x,-z'
loop_
_atom_site_label
_atom_site_type_symbol
_atom_site_fract_x
_atom_site_fract_y
_atom_site_fract_z
Ca1 Ca 0.000 0.500 0.223
Er1 Er 0.000 0.000 0.500
Ga1 Ga 0.000 0.500 0.876
Ga2 Ga 0.500 0.500 0.500
Au1 Au 0.000 0.000 0.000
Au2 Au 0.000 0.500 0.658
Au3 Au 0.500 0.500 0.000
```

VASP energy in eV/atom: -3.695
Energy relative to the elements in eV/f.u.: -6.194
Crystal system: tetragonal

***

Density functional theory data (PBE) for crystalline Cs2LiIBr4 at its relaxed geometry.

```
data_Cs2LiIBr4
_chemical_formula_sum 'Cs8 Li4 I4 Br16'
_cell_length_a 8.714
_cell_length_b 18.356
_cell_length_c 9.419
_cell_angle_alpha 90.00
_cell_angle_beta 109.05
_cell_angle_gamma 90.00
_symmetry_space_group_name_H-M 'C 1 2/c 1'
_symmetry_Int_Tables_number 15
loop_
_symmetry_equiv_pos_as_xyz
'x,y,z'
'-x,-y,-z'
'-x,y,-z+1/2'
'x,-y,z+1/2'
'x+1/2,y+1/2,z'
'-x+1/2,-y+1/2,-z'
'-x+1/2,y+1/2,-z+1/2'
'x+1/2,-y+1/2,z+1/2'
loop_
_atom_site_label
_atom_site_type_symbol
_atom_site_fract_x
_atom_site_fract_y
_atom_site_fract_z
Cs1 Cs 0.000 0.000 0.000
Cs2 Cs 0.250 0.250 0.000
Li1 Li 0.000 0.500 0.000
I1 I 0.250 0.250 0.500
Br1 Br 0.217 0.424 0.158
Br2 Br 0.220 0.369 0.665
```

VASP energy in eV/atom: -2.731
Crystal system: monoclinic
E_form (uncorrected) in eV/atom: -1.25

***

Density functional theory data (PBE) for crystalline Ir2RhSe at its relaxed geometry.

```
data_Ir2RhSe
_chemical_formula_sum 'Ir4 Rh2 Se2'
_cell_length_a 9.055
_cell_length_b 2.871
_cell_length_c 4.909
_cell_angle_alpha 90.00
_cell_angle_beta 105.36
_cell_angle_gamma 90.00
_symmetry_space_group_name_H-M 'C 1 m 1'
_symmetry_Int_Tables_number 8
loop_
_symmetry_equiv_pos_as_xyz
'x,y,z'
'x,-y,z'
'x+1/2,y+1/2,z'
'x+1/2,-y+1/2,z'
loop_
_atom_site_label
_atom_site_type_symbol
_atom_site_fract_x
_atom_site_fract_y
_atom_site_fract_z
Ir1 Ir 0.000 0.000 0.000
Ir2 Ir 0.247 0.000 0.787
Rh1 Rh 0.482 0.000 0.508
Se1 Se 0.221 0.500 0.333
```

VASP energy in eV/atom: -6.831
Crystal system: monoclinic
E_form (uncorrected) in eV/atom: 0.31

***

Density functional theory data (PBE) for crystalline MgCuGe at its relaxed geometry.

```
data_MgCuGe
_chemical_formula_sum 'Mg2 Cu2 Ge2'
_cell_length_a 4.008
_cell_length_b 4.008
_cell_length_c 6.291
_cell_angle_alpha 90.00
_cell_angle_beta 90.00
_cell_angle_gamma 90.00
_symmetry_space_group_name_H-M 'P 4/n m m'
_symmetry_Int_Tables_number 129
loop_
_symmetry_equiv_pos_as_xyz
'x,y,z'
'-x,-y,-z'
'-y+1/2,x,z'
'y+1/2,-x,-z'
'-x+1/2,-y+1/2,z'
'x+1/2,y+1/2,-z'
'y,-x+1/2,z'
'-y,x+1/2,-z'
'x+1/2,-y,-z'
'-x+1/2,y,z'
'-y,-x,-z'
'y,x,z'
'-x,y+1/2,-z'
'x,-y+1/2,z'
'y+1/2,x+1/2,-z'
'-y+1/2,-x+1/2,z'
loop_
_atom_site_label
_atom_site_type_symbol
_atom_site_fract_x
_atom_site_fract_y
_atom_site_fract_z
Mg1 Mg 0.250 0.250 0.179
Cu1 Cu 0.250 0.750 0.500
Ge1 Ge 0.250 0.250 0.745
```

VASP energy in eV/atom: -3.622
Energy relative to the elements in eV/f.u.: -0.559
Crystal system: tetragonal

***

Density functional theory data (PBE) for crystalline Y2ZnReSb at its relaxed geometry.

```
data_Y2ZnReSb
_chemical_formula_sum 'Y2 Zn1 Re1 Sb1'
_cell_length_a 5.459
_cell_length_b 5.459
_cell_length_c 5.063
_cell_angle_alpha 90.00
_cell_angle_beta 90.00
_cell_angle_gamma 90.00
_symmetry_space_group_name_H-M 'P 4/m m m'
_symmetry_Int_Tables_number 123
_symmetry_space_group_name_Hall '-P 4 2'
loop_
_atom_site_label
_atom_site_type_symbol
_atom_site_fract_x
_atom_site_fract_y
_atom_site_fract_z
Y1 Y 0.000 0.500 0.000
Zn1 Zn 0.000 0.000 0.500
Re1 Re 0.500 0.500 0.000
Sb1 Sb 0.500 0.500 0.500
```

VASP energy in eV/atom: -5.945
Offset from the most stable computed form in meV/atom: 0
Crystal system: tetragonal
E_form (uncorrected) in eV/atom: 0.21

***

Density functional theory data (PBE) for crystalline Y2NiAs at its relaxed geometry.

```
data_Y2NiAs
_chemical_formula_sum 'Y2 Ni1 As1'
_cell_length_a 3.552
_cell_length_b 3.568
_cell_length_c 6.722
_cell_angle_alpha 90.00
_cell_angle_beta 90.06
_cell_angle_gamma 90.00
_symmetry_space_group_name_H-M 'P 1 2/m 1'
_symmetry_Int_Tables_number 10
loop_
_symmetry_equiv_pos_as_xyz
'x,y,z'
'-x,-y,-z'
'-x,y,-z'
'x,-y,z'
loop_
_atom_site_label
_atom_site_type_symbol
_atom_site_fract_x
_atom_site_fract_y
_atom_site_fract_z
Y1 Y 0.002 0.000 0.247
Ni1 Ni 0.500 0.500 0.000
As1 As 0.500 0.500 0.500
```

VASP energy in eV/atom: -6.558
Energy relative to the elements in eV/f.u.: -2.875
Crystal system: monoclinic

***

Density functional theory data (PBE) for crystalline Zr2PaTi at its relaxed geometry.

```
data_Zr2PaTi
_chemical_formula_sum 'Zr2 Pa1 Ti1'
_cell_length_a 4.540
_cell_length_b 4.540
_cell_length_c 4.353
_cell_angle_alpha 90.00
_cell_angle_beta 90.00
_cell_angle_gamma 90.00
_symmetry_space_group_name_H-M 'P 4/m m m'
_symmetry_Int_Tables_number 123
_symmetry_space_group_name_Hall '-P 4 2'
loop_
_atom_site_label
_atom_site_type_symbol
_atom_site_fract_x
_atom_site_fract_y
_atom_site_fract_z
Zr1 Zr 0.000 0.500 0.000
Pa1 Pa 0.000 0.000 0.500
Ti1 Ti 0.500 0.500 0.500
```

VASP energy in eV/atom: -8.453
Energy relative to the elements in eV/f.u.: 0.675
Offset from the most stable computed form in meV/atom: 82
Crystal system: tetragonal

***

Density functional theory data (PBE) for crystalline Li4DyZn12 at its relaxed geometry.

```
data_Li4DyZn12
_chemical_formula_sum 'Li8 Dy2 Zn24'
_cell_length_a 8.596
_cell_length_b 8.596
_cell_length_c 8.596
_cell_angle_alpha 90.00
_cell_angle_beta 90.00
_cell_angle_gamma 90.00
_symmetry_space_group_name_H-M 'I m -3'
_symmetry_Int_Tables_number 204
_symmetry_space_group_name_Hall '-I 2 2 3'
loop_
_atom_site_label
_atom_site_type_symbol
_atom_site_fract_x
_atom_site_fract_y
_atom_site_fract_z
Li1 Li 0.250 0.250 0.250
Dy1 Dy 0.000 0.000 0.000
Zn1 Zn 0.000 0.353 0.149
```

VASP energy in eV/atom: -1.443
Energy relative to the elements in eV/f.u.: 3.018
Crystal system: cubic

***

Density functional theory data (PBE) for crystalline RbZn2AsH2 at its relaxed geometry.

```
data_RbZn2AsH2
_chemical_formula_sum 'Rb2 Zn4 As2 H4'
_cell_length_a 7.521
_cell_length_b 5.074
_cell_length_c 7.648
_cell_angle_alpha 90.00
_cell_angle_beta 118.29
_cell_angle_gamma 90.00
_symmetry_space_group_name_H-M 'P 1 21/m 1'
_symmetry_Int_Tables_number 11
loop_
_symmetry_equiv_pos_as_xyz
'x,y,z'
'-x,-y,-z'
'-x,y+1/2,-z'
'x,-y+1/2,z'
loop_
_atom_site_label
_atom_site_type_symbol
_atom_site_fract_x
_atom_site_fract_y
_atom_site_fract_z
Rb1 Rb 0.182 0.250 0.307
Zn1 Zn 0.342 0.000 0.814
As1 As 0.331 0.750 0.099
H1 H 0.157 0.250 0.709
H2 H 0.291 0.750 0.634
```

VASP energy in eV/atom: -2.673
Crystal system: monoclinic

***

Density functional theory data (PBE) for crystalline ZnTe2Rh at its relaxed geometry.

```
data_ZnTe2Rh
_chemical_formula_sum 'Zn2 Te4 Rh2'
_cell_length_a 6.306
_cell_length_b 7.483
_cell_length_c 3.478
_cell_angle_alpha 90.00
_cell_angle_beta 90.00
_cell_angle_gamma 90.00
_symmetry_space_group_name_H-M 'C m m m'
_symmetry_Int_Tables_number 65
_symmetry_space_group_name_Hall '-C 2 2'
loop_
_atom_site_label
_atom_site_type_symbol
_atom_site_fract_x
_atom_site_fract_y
_atom_site_fract_z
Zn1 Zn 0.000 0.000 0.000
Te1 Te 0.250 0.250 0.500
Rh1 Rh 0.000 0.500 0.000
```

VASP energy in eV/atom: -3.544
Crystal system: orthorhombic
E_form (uncorrected) in eV/atom: 0.18

***

Density functional theory data (PBE) for crystalline Cs2Cu3PdF12 at its relaxed geometry.

```
data_Cs2Cu3PdF12
_chemical_formula_sum 'Cs6 Cu9 Pd3 F36'
_cell_length_a 7.1873
_cell_length_b 7.1873
_cell_length_c 19.8523
_cell_angle_alpha 90.00
_cell_angle_beta 90.00
_cell_angle_gamma 120.00
_symmetry_space_group_name_H-M 'R -3 m'
_symmetry_Int_Tables_number 166
_symmetry_space_group_name_Hall '-R 3 2"'
loop_
_atom_site_label
_atom_site_type_symbol
_atom_site_fract_x
_atom_site_fract_y
_atom_site_fract_z
Cs1 Cs 0.0000 0.0000 0.1154
Cu1 Cu 0.0000 0.5000 0.0000
Pd1 Pd 0.0000 0.0000 0.5000
F1 F 0.0704 0.5352 0.1106
F2 F 0.0705 0.5353 0.3528
```

VASP energy in eV/atom: -4.149
Crystal system: trigonal
E_form (uncorrected) in eV/atom: -1.84